A plane-wave DFT calculation with PBE-GGA was carried out for an optimized crystal structure of Y2Zn4Ga3Au.

Unit cell a=4.181 b=4.181 c=10.746 alpha=90.00 beta=90.00 gamma=90.00
Sites, in units of the cell vectors:
Y  0.000  0.500  0.246
Y  0.500  0.000  0.754
Zn  0.000  0.000  0.000
Zn  0.000  0.500  0.641
Zn  0.500  0.000  0.359
Zn  0.500  0.500  0.000
Ga  0.000  0.500  0.864
Ga  0.500  0.000  0.136
Ga  0.500  0.500  0.500
Au  0.000  0.000  0.500

## Properties
- VASP energy (eV per atom) = -3.481
- volume (Å³/cell) = 188